Record 1
NdThTcI | GGA-PBE | relaxed

Lattice parameters (Å, degrees): 4.2038 4.2026 8.4304 90.00 104.44 119.98
Positions (direct):
Nd 0.5066 0.1512 0.6732
Th 0.0797 0.9378 0.0333
Tc 0.3216 0.5586 0.8951
I 0.9699 0.3832 0.3682

Output
ΔE_f (raw): -0.416 eV/atom

Record 2
Nd3Te3I | GGA-PBE | relaxed

Lattice parameters (Å, degrees): 9.5561 9.5561 8.3581 55.13 55.13 60.00
Positions (direct):
Nd 0.2897 0.5583 0.2337
Nd 0.9183 0.2897 0.2337
Nd 0.5583 0.9183 0.2337
Nd 0.4417 0.0817 0.7663
Nd 0.0817 0.7103 0.7663
Nd 0.7103 0.4417 0.7663
Te 0.3773 0.7978 0.7328
Te 0.7978 0.0921 0.7328
Te 0.0921 0.3773 0.7328
Te 0.9079 0.6227 0.2672
Te 0.2022 0.9079 0.2672
Te 0.6227 0.2022 0.2672
I 0.3283 0.3283 0.0150
I 0.6717 0.6717 0.9850

Output
ΔE_f (raw): -1.320 eV/atom